TlGeCl3 | GGA-PBE | optimized geometry

The crystal system is monoclinic. The value obtained for the uncorrected formation energy is -0.862 eV/atom. The total energy comes out at -3.367 eV per atom.

It has space group C2/m (No. 12), with a = 16.7242 Å, b = 4.0523 Å, c = 8.8461 Å, α = 90.00°, β = 95.18° and γ = 90.00°. Symmetry generates all atoms from Tl at (0.1176, 0.0000, 0.3827), Ge at (0.1706, 0.5000, 0.8530), Cl at (0.0595, 0.5000, 0.6709), Cl at (0.1159, 0.0000, 0.0023) and Cl at (0.2443, 0.0000, 0.6848).

---

Ba2Cd2Si | GGA-PBE | optimized geometry

The crystal system is tetragonal. The value obtained for the uncorrected formation energy is -0.137 eV/atom. The energy above the most stable polymorph in this dataset is 0.000 eV/atom. The total energy comes out at -2.357 eV per atom.

It has space group I4/mmm (No. 139), with a = 4.0868 Å, b = 4.0868 Å, c = 21.0068 Å, α = 90.00°, β = 90.00° and γ = 90.00°. Symmetry generates all atoms from Ba at (0.0000, 0.0000, 0.0893), Cd at (0.0000, 0.5000, 0.2500) and Si at (0.0000, 0.0000, 0.5000).

---

Ca8Hg2Ru | GGA-PBE | optimized geometry

The formation energy comes out at -0.169 eV per atom. The crystal system is monoclinic. The total energy comes out at -2.523 eV per atom.

It has space group Cm (No. 8), with a = 8.6333 Å, b = 15.0046 Å, c = 6.5847 Å, α = 90.00°, β = 122.78° and γ = 90.00°. Symmetry generates all atoms from Ca at (0.0000, 0.0000, 0.0000), Ca at (0.0595, 0.3798, 0.8540), Ca at (0.0749, 0.1186, 0.5321), Ca at (0.1132, 0.5000, 0.3941), Ca at (0.3011, 0.1823, 0.2226), Hg at (0.3282, 0.3041, 0.7111) and Ru at (0.3169, 0.0000, 0.4624).

---

Cr2GeBiIr | GGA-PBE | optimized geometry

The formation energy comes out at 1.597 eV per atom. The crystal system is tetragonal. The total energy comes out at -5.724 eV per atom.

It has space group P4/mmm (No. 123), with a = 5.1299 Å, b = 5.1299 Å, c = 5.0232 Å, α = 90.00°, β = 90.00° and γ = 90.00°. Symmetry generates all atoms from Cr at (0.0000, 0.5000, 0.0000), Ge at (0.0000, 0.0000, 0.5000), Bi at (0.5000, 0.5000, 0.0000) and Ir at (0.5000, 0.5000, 0.5000).

---

Y2TcAg | GGA-PBE | optimized geometry

The formation energy comes out at -0.071 eV per atom. The crystal system is tetragonal. The total energy comes out at -6.607 eV per atom.

It has space group P4/mmm (No. 123), with a = 4.9792 Å, b = 4.9792 Å, c = 3.5468 Å, α = 90.00°, β = 90.00° and γ = 90.00°. Symmetry generates all atoms from Y at (0.0000, 0.5000, 0.0000), Tc at (0.0000, 0.0000, 0.5000) and Ag at (0.5000, 0.5000, 0.5000).

---

LaSiAg3 | GGA-PBE | optimized geometry

The crystal system is cubic. The value obtained for the uncorrected formation energy is -0.001 eV/atom. The energy above the most stable polymorph in this dataset is 0.000 eV/atom. The total energy comes out at -3.782 eV per atom.

It has space group Pm-3m (No. 221), with a = 4.8806 Å, b = 4.8806 Å, c = 4.8806 Å, α = 90.00°, β = 90.00° and γ = 90.00°. Symmetry generates all atoms from La at (0.0000, 0.0000, 0.0000), Si at (0.5000, 0.5000, 0.5000) and Ag at (0.0000, 0.5000, 0.5000).

---

AgRu3 | GGA-PBE | optimized geometry

The formation energy comes out at 0.289 eV per atom. The crystal system is trigonal. The total energy comes out at -7.380 eV per atom.

It has space group R-3m (No. 166, hexagonal axes), with a = 2.7365 Å, b = 2.7365 Å, c = 27.5228 Å, α = 90.00°, β = 90.00° and γ = 120.00°. Symmetry generates all atoms from Ag at (0.0000, 0.0000, 0.0000), Ru at (0.0000, 0.0000, 0.2439) and Ru at (0.0000, 0.0000, 0.5000).

---

SrMgAsO4 | GGA-PBE | optimized geometry

The crystal system is cubic. The value obtained for the uncorrected formation energy is -1.695 eV/atom. The total energy comes out at -5.661 eV per atom.

It has space group F-43m (No. 216), with a = 8.3837 Å, b = 8.3837 Å, c = 8.3837 Å, α = 90.00°, β = 90.00° and γ = 90.00°. Symmetry generates all atoms from Sr at (0.0000, 0.0000, 0.0000), Mg at (0.2500, 0.2500, 0.7500), As at (0.0000, 0.0000, 0.5000) and O at (0.1189, 0.1189, 0.6189).

---

IrOs2Pb | GGA-PBE | optimized geometry

The formation energy comes out at 0.978 eV per atom. The crystal system is tetragonal. The total energy comes out at -7.779 eV per atom.

It has space group P4/mmm (No. 123), with a = 4.7031 Å, b = 4.7031 Å, c = 2.9978 Å, α = 90.00°, β = 90.00° and γ = 90.00°. Symmetry generates all atoms from Ir at (0.0000, 0.0000, 0.0000), Os at (0.0000, 0.5000, 0.5000) and Pb at (0.5000, 0.5000, 0.0000).

---

Cs3Te3Au | GGA-PBE | optimized geometry

The crystal system is trigonal. The value obtained for the uncorrected formation energy is -0.621 eV/atom. The energy above the most stable polymorph in this dataset is 0.089 eV/atom. The total energy comes out at -2.802 eV per atom.

It has space group R3m (No. 160, hexagonal axes), with a = 12.2463 Å, b = 12.2463 Å, c = 7.7534 Å, α = 90.00°, β = 90.00° and γ = 120.00°. Symmetry generates all atoms from Cs at (0.0548, 0.5274, 0.0000), Te at (0.0829, 0.5414, 0.4998) and Au at (0.0000, 0.0000, 0.8372).

---

NaRe2Br8 | GGA-PBE | optimized geometry

The crystal system is monoclinic. The value obtained for the uncorrected formation energy is -0.153 eV/atom. The total energy comes out at -3.753 eV per atom.

It has space group C2/m (No. 12), with a = 13.6109 Å, b = 9.9788 Å, c = 6.9156 Å, α = 90.00°, β = 99.34° and γ = 90.00°. Symmetry generates all atoms from Na at (0.0000, 0.0000, 0.0000), Re at (0.2015, 0.0000, 0.6661), Br at (0.1123, 0.1855, 0.7762), Br at (0.1295, 0.5000, 0.1820) and Br at (0.1933, 0.0000, 0.3190).

---

LaHoMg2Hg4 | GGA-PBE | optimized geometry

The formation energy comes out at -0.467 eV per atom. The crystal system is trigonal. The total energy comes out at -2.204 eV per atom.

It has space group R-3m (No. 166, hexagonal axes), with a = 5.1354 Å, b = 5.1354 Å, c = 25.5027 Å, α = 90.00°, β = 90.00° and γ = 120.00°. Symmetry generates all atoms from La at (0.0000, 0.0000, 0.0000), Ho at (0.0000, 0.0000, 0.5000), Mg at (0.0000, 0.0000, 0.2487), Hg at (0.0000, 0.0000, 0.1285) and Hg at (0.0000, 0.0000, 0.3803).